DFT (PBE) results for an optimized crystal structure of Rb2BAsI6.

The total magnetization is 0.000 μB/atom. The value obtained for the total energy is -26.03 eV for the cell shown.

Geometry as POSCAR:
```
Rb2BAsI6
1.0
-4.0572 4.0572 5.6156
4.0572 -4.0572 5.6156
4.0572 4.0572 -5.6156
Rb B As I
2 1 1 6
Direct
0.2500 0.7500 0.5000
0.7500 0.2500 0.5000
0.0000 0.0000 0.0000
0.5000 0.5000 0.0000
0.2392 0.2392 0.0000
0.2467 0.2467 0.4934
0.2467 0.7533 0.0000
0.7533 0.2467 0.0000
0.7533 0.7533 0.5066
0.7608 0.7608 0.0000
```



DFT (PBE) results for an optimized crystal structure of BSb2AsI.

The total magnetization is 0.000 μB/atom. The value obtained for the total energy is -13.60 eV for the cell shown. The excess energy over the best structure of this formula in the dataset comes out at 0.609 eV/atom.

Geometry as POSCAR:
```
BSb2AsI
1.0
5.4126 0.0000 0.0000
0.0000 5.4126 0.0000
0.0000 0.0000 5.6588
B Sb As I
1 2 1 1
Direct
0.0000 0.0000 0.0000
0.0000 0.5000 0.5000
0.5000 0.0000 0.5000
0.5000 0.5000 0.5000
0.5000 0.5000 0.0000
```



DFT (PBE) results for an optimized crystal structure of BSb2AsI.

The total magnetization is 0.000 μB/atom. The value obtained for the total energy is -16.64 eV for the cell shown. The excess energy over the best structure of this formula in the dataset comes out at 0.000 eV/atom.

Geometry as POSCAR:
```
BSb2AsI
1.0
4.9857 0.0000 0.0000
0.0000 4.9857 0.0000
0.0000 0.0000 4.7222
B Sb As I
1 2 1 1
Direct
0.0000 0.0000 0.0000
0.0000 0.5000 0.0000
0.5000 0.0000 0.0000
0.5000 0.5000 0.5000
0.0000 0.0000 0.5000
```



DFT (PBE) results for an optimized crystal structure of BAs2SeI.

The total magnetization is 0.210 μB/atom. The value obtained for the total energy is -10.92 eV for the cell shown. The excess energy over the best structure of this formula in the dataset comes out at 1.196 eV/atom.

Geometry as POSCAR:
```
BAs2SeI
1.0
5.4401 0.0000 0.0000
0.0000 5.4401 0.0000
0.0000 0.0000 5.4076
B As Se I
1 2 1 1
Direct
0.0000 0.0000 0.0000
0.0000 0.5000 0.5000
0.5000 0.0000 0.5000
0.5000 0.5000 0.0000
0.5000 0.5000 0.5000
```



DFT (PBE) results for an optimized crystal structure of BAsSe2I.

The total magnetization is 0.187 μB/atom. The value obtained for the total energy is -10.59 eV for the cell shown. The excess energy over the best structure of this formula in the dataset comes out at 1.063 eV/atom.

Geometry as POSCAR:
```
BAsSe2I
1.0
5.3983 0.0000 0.0000
0.0000 5.3983 0.0000
0.0000 0.0000 5.4890
B As Se I
1 1 2 1
Direct
0.0000 0.0000 0.0000
0.5000 0.5000 0.0000
0.0000 0.5000 0.5000
0.5000 0.0000 0.5000
0.5000 0.5000 0.5000
```



DFT (PBE) results for an optimized crystal structure of BAs2SeI.

The total magnetization is 0.000 μB/atom. The value obtained for the total energy is -16.90 eV for the cell shown. The excess energy over the best structure of this formula in the dataset comes out at 0.000 eV/atom.

Geometry as POSCAR:
```
BAs2SeI
1.0
4.7262 0.0000 0.0000
0.0000 4.7262 0.0000
0.0000 0.0000 4.4303
B As Se I
1 2 1 1
Direct
0.0000 0.0000 0.0000
0.0000 0.5000 0.0000
0.5000 0.0000 0.0000
0.0000 0.0000 0.5000
0.5000 0.5000 0.5000
```



DFT (PBE) results for an optimized crystal structure of BAsSe2I.

The total magnetization is 0.000 μB/atom. The value obtained for the total energy is -15.90 eV for the cell shown. The excess energy over the best structure of this formula in the dataset comes out at 0.000 eV/atom.

Geometry as POSCAR:
```
BAsSe2I
1.0
4.4065 0.0000 0.0000
0.0000 4.4065 0.0000
0.0000 0.0000 5.3004
B As Se I
1 1 2 1
Direct
0.0000 0.0000 0.0000
0.0000 0.0000 0.5000
0.0000 0.5000 0.0000
0.5000 0.0000 0.0000
0.5000 0.5000 0.5000
```



DFT (PBE) results for an optimized crystal structure of BAsSe2I.

The total magnetization is 0.000 μB/atom. The value obtained for the total energy is -13.64 eV for the cell shown. The excess energy over the best structure of this formula in the dataset comes out at 0.452 eV/atom.

Geometry as POSCAR:
```
BAsSe2I
1.0
4.9736 0.0000 0.0000
0.0000 4.9736 0.0000
0.0000 0.0000 5.9020
B As Se I
1 1 2 1
Direct
0.0000 0.0000 0.0000
0.5000 0.5000 0.5000
0.0000 0.5000 0.5000
0.5000 0.0000 0.5000
0.5000 0.5000 0.0000
```



DFT (PBE) results for an optimized crystal structure of BTeAsI2.

The total magnetization is 0.000 μB/atom. The value obtained for the total energy is -11.64 eV for the cell shown. The excess energy over the best structure of this formula in the dataset comes out at 0.230 eV/atom.

Geometry as POSCAR:
```
BTeAsI2
1.0
5.6471 0.0000 0.0000
0.0000 5.6471 0.0000
0.0000 0.0000 5.5780
B Te As I
1 1 1 2
Direct
0.0000 0.0000 0.0000
0.5000 0.5000 0.0000
0.5000 0.5000 0.5000
0.0000 0.5000 0.5000
0.5000 0.0000 0.5000
```



DFT (PBE) results for an optimized crystal structure of BTeAsI2.

The total magnetization is 0.000 μB/atom. The value obtained for the total energy is -12.79 eV for the cell shown. The excess energy over the best structure of this formula in the dataset comes out at 0.000 eV/atom.

Geometry as POSCAR:
```
BTeAsI2
1.0
4.8651 0.0000 0.0000
0.0000 4.8651 0.0000
0.0000 0.0000 5.3186
B Te As I
1 1 1 2
Direct
0.0000 0.0000 0.0000
0.0000 0.0000 0.5000
0.5000 0.5000 0.5000
0.0000 0.5000 0.0000
0.5000 0.0000 0.0000
```



DFT (PBE) results for an optimized crystal structure of TlBAsI2.

The total magnetization is 0.000 μB/atom. The value obtained for the total energy is -14.36 eV for the cell shown.

Geometry as POSCAR:
```
TlBAsI2
1.0
5.8976 0.0000 0.0000
0.0000 5.8976 0.0000
0.0000 0.0000 4.1026
Tl B As I
1 1 1 2
Direct
0.0000 0.0000 0.0000
0.5000 0.5000 0.5000
0.5000 0.5000 0.0000
0.0000 0.5000 0.5000
0.5000 0.0000 0.5000
```



DFT (PBE) results for an optimized crystal structure of InBAs3.

The total magnetization is 0.000 μB/atom. Its formation energy is 0.67 eV/atom. The value obtained for the total energy is -20.00 eV for the cell shown. The excess energy over the best structure of this formula in the dataset comes out at 0.000 eV/atom.

Geometry as POSCAR:
```
InBAs3
1.0
4.5386 0.0000 0.0000
0.0000 4.5386 0.0000
0.0000 0.0000 4.5386
In B As
1 1 3
Direct
0.0000 0.0000 0.0000
0.5000 0.5000 0.5000
0.0000 0.5000 0.5000
0.5000 0.0000 0.5000
0.5000 0.5000 0.0000
```



DFT (PBE) results for an optimized crystal structure of InBAs3.

The total magnetization is 0.000 μB/atom. Its formation energy is 1.81 eV/atom. The value obtained for the total energy is -14.32 eV for the cell shown. The excess energy over the best structure of this formula in the dataset comes out at 1.135 eV/atom.

Geometry as POSCAR:
```
InBAs3
1.0
5.2318 0.0000 0.0000
0.0000 5.2318 0.0000
0.0000 0.0000 5.2318
In B As
1 1 3
Direct
0.0000 0.0000 0.0000
0.5000 0.5000 0.5000
0.0000 0.0000 0.5000
0.0000 0.5000 0.0000
0.5000 0.0000 0.0000
```



DFT (PBE) results for an optimized crystal structure of InB2As.

The total magnetization is 0.000 μB/atom. Its formation energy is 1.50 eV/atom. The value obtained for the total energy is -14.73 eV for the cell shown. The excess energy over the best structure of this formula in the dataset comes out at 0.874 eV/atom.

Geometry as POSCAR:
```
InB2As
1.0
0.0000 3.0802 3.0802
3.0802 0.0000 3.0802
3.0802 3.0802 0.0000
In B As
1 2 1
Direct
0.0000 0.0000 0.0000
0.2500 0.2500 0.2500
0.7500 0.7500 0.7500
0.5000 0.5000 0.5000
```